Here is a relaxed structure of Pr2Nd2CICl4 from the Open Quantum Materials Database. Energies are from PBE.

a = 9.1256 Å, b = 9.1256 Å, c = 8.8034 Å
α = 104.25°, β = 104.25°, γ = 25.24°
With the nearest neighbours (Å) after each atom.
Fractional positions:
Pr (0.1466, 0.1466, 0.0795)  1 C 2.53
Pr (0.8534, 0.8534, 0.9205)  1 C 2.53
Nd (0.4989, 0.4989, 0.1962)  2 C 2.64, 2 Cl 2.86-2.92
Nd (0.5011, 0.5011, 0.8038)  2 C 2.64, 2 Cl 2.86-2.92
C (0.0000, 0.0000, 0.0000)  2 Pr 2.53, 4 Nd 2.64
I (0.0000, 0.0000, 0.5000)  4 Nd 3.33
Cl (0.3301, 0.3301, 0.1435)  3 Pr 2.90-3.17, 1 Nd 2.92
Cl (0.3363, 0.3363, 0.6850)  2 Pr 2.84, 1 Nd 2.86
Cl (0.6637, 0.6637, 0.3150)  2 Pr 2.84, 1 Nd 2.86
Cl (0.6699, 0.6699, 0.8565)  3 Pr 2.90-3.17, 1 Nd 2.92

Output
As for the total energy: -5.297 eV/atom. As for the symmetry: C2/m.